Here is a relaxed structure of CuReNi from Alexandria. Energies are from PBE.

Size of the total moment = 0.00 μB/f.u.
Excess energy over the best structure of this formula in the dataset = 143 meV/atom
V = 12.481 A^3/atom
Energy of formation from the pure elements = 0.19 eV per atom

```
data_CuReNi
_chemical_formula_sum 'Cu1 Re1 Ni1'
_cell_length_a 4.1401
_cell_length_b 4.1401
_cell_length_c 2.5223
_cell_angle_alpha 90.00
_cell_angle_beta 90.00
_cell_angle_gamma 120.00
_symmetry_space_group_name_H-M 'P -6 m 2'
_symmetry_Int_Tables_number 187
_symmetry_space_group_name_Hall 'P -6 2'
loop_
_atom_site_label
_atom_site_fract_x
_atom_site_fract_y
_atom_site_fract_z
Cu1 0.0000 0.0000 0.0000
Re1 0.3333 0.6667 0.5000
Ni1 0.6667 0.3333 0.0000
```

Here is a relaxed structure of Te7O6F30 from Alexandria. Energies are from PBE.

E = -4.299 eV per atom
Size of the total moment = 0.00 μB/f.u.
V = 15.842 A^3/atom

```
data_Te7O6F30
_chemical_formula_sum 'Te7 O6 F30'
_cell_length_a 9.127
_cell_length_b 9.341
_cell_length_c 9.376
_cell_angle_alpha 115.49
_cell_angle_beta 100.29
_cell_angle_gamma 99.97
_symmetry_space_group_name_H-M 'P -1'
_symmetry_Int_Tables_number 2
loop_
_symmetry_equiv_pos_as_xyz
'x,y,z'
'-x,-y,-z'
loop_
_atom_site_label
_atom_site_fract_x
_atom_site_fract_y
_atom_site_fract_z
Te1 0.000 0.000 0.000
Te2 0.224 0.759 0.760
Te3 0.243 0.075 0.390
Te4 0.248 0.392 0.084
O1 0.058 0.219 0.017
O2 0.114 0.926 0.837
O3 0.189 0.054 0.171
F1 0.044 0.587 0.685
F2 0.058 0.924 0.349
F3 0.130 0.543 0.139
F4 0.154 0.249 0.474
F5 0.177 0.759 0.558
F6 0.205 0.366 0.871
F7 0.273 0.756 0.961
F8 0.296 0.426 0.301
F9 0.307 0.101 0.602
F10 0.331 0.603 0.678
F11 0.336 0.904 0.315
F12 0.368 0.245 0.030
F13 0.407 0.927 0.831
F14 0.423 0.566 0.147
F15 0.430 0.226 0.434
```

Here is a relaxed structure of Ba2ReAs from Alexandria. Energies are from PBE.

Size of the total moment = 0.00 μB/f.u.
V = 36.484 A^3/atom
Energy of formation from the pure elements = -0.03 eV per atom

```
data_Ba2ReAs
_chemical_formula_sum 'Ba6 Re3 As3'
_cell_length_a 4.3407
_cell_length_b 4.3407
_cell_length_c 26.8307
_cell_angle_alpha 90.00
_cell_angle_beta 90.00
_cell_angle_gamma 120.00
_symmetry_space_group_name_H-M 'R 3 m'
_symmetry_Int_Tables_number 160
_symmetry_space_group_name_Hall 'R 3 -2"'
loop_
_atom_site_label
_atom_site_fract_x
_atom_site_fract_y
_atom_site_fract_z
Ba1 0.0000 0.0000 0.0000
Ba2 0.0000 0.0000 0.1694
Re1 0.0000 0.0000 0.7516
As1 0.0000 0.0000 0.4180
```

Here is a relaxed structure of Ho5HfP6 from Alexandria. Energies are from PBE.

Size of the total moment = 0.00 μB/f.u.
V = 21.454 A^3/atom
Energy of formation from the pure elements = -1.57 eV per atom

```
data_Ho5HfP6
_chemical_formula_sum 'Ho10 Hf2 P12'
_cell_length_a 6.808
_cell_length_b 11.783
_cell_length_c 6.809
_cell_angle_alpha 90.00
_cell_angle_beta 109.49
_cell_angle_gamma 90.00
_symmetry_space_group_name_H-M 'C 1 2/m 1'
_symmetry_Int_Tables_number 12
loop_
_symmetry_equiv_pos_as_xyz
'x,y,z'
'-x,-y,-z'
'-x,y,-z'
'x,-y,z'
'x+1/2,y+1/2,z'
'-x+1/2,-y+1/2,-z'
'-x+1/2,y+1/2,-z'
'x+1/2,-y+1/2,z'
loop_
_atom_site_label
_atom_site_fract_x
_atom_site_fract_y
_atom_site_fract_z
Ho1 0.000 0.000 0.000
Ho2 0.000 0.166 0.500
Ho3 0.000 0.331 0.000
Hf1 0.000 0.500 0.500
P1 0.241 0.500 0.255
P2 0.242 0.339 0.743
```